Entry 1:
A relaxed structure of MgZnIn3, computed with PBE-GGA.

Cell and atoms, written as CIF:
```
data_MgZnIn3
_space_group_name_H-M_alt 'P m -3 m'
_space_group_IT_number 221
_space_group_name_Hall '-P 4 2 3'
_cell_length_a 5.480
_cell_length_b 5.480
_cell_length_c 5.480
_cell_angle_alpha 90.00
_cell_angle_beta 90.00
_cell_angle_gamma 90.00
loop_
_atom_site_label
_atom_site_fract_x
_atom_site_fract_y
_atom_site_fract_z
Mg1 0.000 0.000 0.000
Zn1 0.500 0.500 0.500
In1 0.000 0.000 0.500
```

Values from the calculation:
Formation energy: 0.469 eV per atom
Distance to the lowest polymorph of the same formula: 0.200 eV/atom



Entry 2:
A relaxed structure of BeGaGe3, computed with PBE-GGA.

Cell and atoms, written as CIF:
```
data_BeGaGe3
_space_group_name_H-M_alt 'P m -3 m'
_space_group_IT_number 221
_space_group_name_Hall '-P 4 2 3'
_cell_length_a 4.536
_cell_length_b 4.536
_cell_length_c 4.536
_cell_angle_alpha 90.00
_cell_angle_beta 90.00
_cell_angle_gamma 90.00
loop_
_atom_site_label
_atom_site_fract_x
_atom_site_fract_y
_atom_site_fract_z
Be1 0.000 0.000 0.000
Ga1 0.500 0.500 0.500
Ge1 0.000 0.000 0.500
```

Values from the calculation:
Formation energy: 0.446 eV per atom
Distance to the lowest polymorph of the same formula: 0.000 eV/atom